# EuAl2Ga

A geometry-optimized EuAl2Ga structure (PBE-GGA, the Alexandria database).

Cell: 4.377 4.337 4.337 Å, 90.00 90.00 90.00°
Atoms (fractional coordinates):
Eu  0.500  0.000  0.000
Al  0.000  0.000  0.500
Al  0.000  0.500  0.000
Ga  0.500  0.500  0.500

## Properties
Formation enthalpy at 0 K   -270 meV/atom
Magnetization   7.0 μB per formula unit
E_tot   -5.467 eV per atom

***

# EuAl4Ga

A geometry-optimized EuAl4Ga structure (PBE-GGA, the Alexandria database).

Cell: 5.588 5.588 5.588 Å, 60.00 60.00 60.00°
Atoms (fractional coordinates):
Eu  0.250  0.250  0.250
Al  0.625  0.625  0.126
Al  0.625  0.126  0.625
Al  0.625  0.625  0.625
Al  0.126  0.625  0.625
Ga  0.000  0.000  0.000

## Properties
Formation enthalpy at 0 K   -107 meV/atom
Magnetization   7.4 μB per formula unit
E_tot   -4.819 eV per atom

***

Ordered volume results: 20.58; 20.56; unit Å³ per atom.